TbDyHoPu, relaxed, DFT GGA-PBE; SG = F-43m; calculated formation energy = 196 meV/atom; crystal system = cubic; mass density = 9.9 g/cm³
1.0
-4.419 1.534 3.033
-4.937 -2.453 -0.829
-2.076 -3.458 3.849
Tb Pu Dy Ho
1 1 1 1
direct
0.500 0.500 0.500 Tb
0.250 0.250 0.250 Pu
0.750 0.750 0.750 Dy
0.000 0.000 0.000 Ho